Entry 1:
A relaxed Nd4BBr3Cl2 crystal, computed with PBE.

Summary:
**Electronic total energy**: -4.956 eV/atom
**Density**: 4.87 g cm⁻³
**Symmetry**: C2/m

a b c (Å): 9.454 9.454 8.436
angles (deg): 103.39 103.39 24.72
Atoms (fractional coordinates):
B  0.500  0.500  0.000
Br  0.829  0.829  0.166
Br  0.500  0.500  0.500
Br  0.171  0.171  0.834
Cl  0.160  0.160  0.323
Cl  0.840  0.840  0.677
Nd  0.645  0.645  0.083
Nd  0.000  0.000  0.214
Nd  0.000  0.000  0.786
Nd  0.355  0.355  0.917


Entry 2:
A relaxed GdTlAg crystal, computed with PBE.

Summary:
**Electronic total energy**: -3.477 eV/atom
**Density**: 9.66 g cm⁻³
**Symmetry**: F-43m
**E above lowest polymorph**: 0.110 eV per atom

a b c (Å): 4.851 4.851 4.851
angles (deg): 60.00 60.00 60.00
Atoms (fractional coordinates):
Ag  0.000  0.000  0.000
Gd  0.250  0.250  0.250
Tl  0.750  0.750  0.750


Entry 3:
A relaxed La2NdSmSe3O4 crystal, computed with PBE.

Summary:
**Electronic total energy**: -7.330 eV/atom
**Density**: 6.57 g cm⁻³
**Symmetry**: Amm2

a b c (Å): 8.463 6.784 6.784
angles (deg): 34.54 90.00 90.00
Atoms (fractional coordinates):
La  0.239  0.683  0.683
La  0.761  0.683  0.683
Nd  0.000  0.998  0.998
O  0.246  0.085  0.085
O  0.754  0.085  0.085
O  0.000  0.586  0.586
O  0.500  0.611  0.611
Se  0.000  0.314  0.314
Se  0.352  0.360  0.360
Se  0.648  0.360  0.360
Sm  0.500  0.015  0.015


Entry 4:
A relaxed BaAcTa crystal, computed with PBE.

Summary:
**Electronic total energy**: -4.739 eV/atom
**Density**: 7.54 g cm⁻³
**Symmetry**: F-43m
**E above lowest polymorph**: 0.000 eV per atom

a b c (Å): 5.537 5.537 5.537
angles (deg): 60.00 60.00 60.00
Site moments in Bohr magnetons follow the coordinates.
Atoms (fractional coordinates):
Ac  0.750  0.750  0.750  0.14
Ba  0.250  0.250  0.250  0.07
Ta  0.000  0.000  0.000  1.33


Entry 5:
A relaxed Gd2Tl2O5 crystal, computed with PBE.

Summary:
**Electronic total energy**: -6.340 eV/atom
**Density**: 8.80 g cm⁻³
**Symmetry**: P4/mmm
**E above lowest polymorph**: 0.000 eV per atom

a b c (Å): 8.654 4.186 4.186
angles (deg): 90.00 90.00 90.00
Atoms (fractional coordinates):
Gd  0.247  0.500  0.500
Gd  0.753  0.500  0.500
O  0.161  0.500  0.000
O  0.839  0.500  0.000
O  0.161  0.000  0.500
O  0.839  0.000  0.500
O  0.500  0.500  0.500
Tl  0.000  0.000  0.000
Tl  0.500  0.000  0.000


Entry 6:
A relaxed HfInAu3Se4 crystal, computed with PBE.

Summary:
**Electronic total energy**: -4.466 eV/atom
**Density**: 7.64 g cm⁻³
**Symmetry**: P-43m

a b c (Å): 6.388 6.388 6.388
angles (deg): 90.00 90.00 90.00
Atoms (fractional coordinates):
Au  0.500  0.000  0.000
Au  0.000  0.500  0.000
Au  0.000  0.000  0.500
Hf  0.000  0.000  0.000
In  0.500  0.500  0.500
Se  0.770  0.230  0.230
Se  0.230  0.770  0.230
Se  0.230  0.230  0.770
Se  0.770  0.770  0.770


Entry 7:
A relaxed NdInSnSe3 crystal, computed with PBE.

Summary:
**Electronic total energy**: -4.546 eV/atom
**Density**: 5.58 g cm⁻³
**Symmetry**: Cmcm

a b c (Å): 7.662 7.662 11.753
angles (deg): 90.00 90.00 147.95
Atoms (fractional coordinates):
In  0.178  0.822  0.250
In  0.822  0.178  0.750
Nd  0.500  0.500  0.000
Nd  0.500  0.500  0.500
Se  0.861  0.139  0.002
Se  0.501  0.499  0.250
Se  0.861  0.139  0.498
Se  0.139  0.861  0.502
Se  0.499  0.501  0.750
Se  0.139  0.861  0.998
Sn  0.863  0.137  0.250
Sn  0.137  0.863  0.750


Q: Number 7 is which compound?
A: NdInSnSe3


Q: Among the records above, which one has the lowest electronic total energy?
A: La2NdSmSe3O4


Q: Which formula does entry 7 have?
A: NdInSnSe3